Version i
The following is a meta-GGA SCAN calculation of a crystal of ZrAlBr2 relaxed with PBEsol, from the Alexandria database.

Cell lengths 3.433, 5.839, 9.639 Å; angles 90.00, 90.00, 90.00 degrees
Space group Cmm2 (No. 35)
One atom of each set of equivalent atoms:
Zr 0.000 0.000 0.000
Al 0.000 0.500 0.234
Br 0.000 0.000 0.430
Br 0.000 0.500 0.787

Calculated values
**Fermi-level density of states**: 0.274 states/eV/atom

Version ii
The following is a meta-GGA SCAN calculation of a crystal of ZrAlBr2 relaxed with PBEsol, from the Alexandria database.

Cell lengths 3.264, 4.588, 5.672 Å; angles 90.00, 90.00, 90.00 degrees
Space group Pmmm (No. 47)
One atom of each set of equivalent atoms:
Zr 0.000 0.000 0.000
Al 0.500 0.000 0.500
Br 0.000 0.500 0.500
Br 0.500 0.500 0.000

Calculated values
**Fermi-level density of states**: 0.480 states/eV/atom

Of them, version ii has the lowest stability.